Sr3TbHo2Te6: optimized geometry, GGA-PBE.

```
12
Lattice="3.8850 -6.7199 0.0000 3.8850 6.7199 0.0000 -2.5907 0.0000 7.5286" Properties=species:S:1:pos:R:3 pbc="T T T"
Sr 0.0000 0.0000 0.0000
Sr 3.8850 2.2293 0.0000
Sr 3.8850 -2.2293 0.0000
Tb 2.5896 0.0000 3.7643
Ho 2.5896 4.4770 3.7643
Ho 2.5896 -4.4770 3.7643
Te 1.2870 2.2539 2.0288
Te -0.0172 0.0000 5.4953
Te 1.2870 -2.2539 2.0288
Te 3.8922 2.2539 5.4999
Te 5.1964 0.0000 2.0333
Te 3.8922 -2.2539 5.4999
```

Summary:
- energy (eV/atom) = -4.624
- ΔE_f (raw) (eV per atom) = -1.48
- mass density (g cm⁻³) = 6.41


SrHo2Tc: optimized geometry, GGA-PBE.

```
4
Lattice="3.5125 0.0000 0.0000 0.0000 3.5125 0.0000 0.0000 0.0000 9.6310" Properties=species:S:1:pos:R:3 pbc="T T T"
Sr 0.0000 0.0000 0.0000
Ho 1.7563 1.7563 3.2210
Ho 1.7563 1.7563 6.4101
Tc 0.0000 0.0000 4.8155
```

Summary:
- energy (eV/atom) = -5.263
- mass density (g cm⁻³) = 7.20
- energy of formation (eV per atom) = 0.0381


SrHo2Tc: optimized geometry, GGA-PBE.

```
4
Lattice="1.8003 1.0394 11.0029 -1.8003 1.0394 11.0029 0.0000 -2.0788 11.0029" Properties=species:S:1:pos:R:3 pbc="T T T"
Sr 0.0000 0.0000 0.0000
Ho 0.0000 0.0000 3.5984
Ho 0.0000 0.0000 29.4102
Tc 0.0000 0.0000 16.5043
```

Summary:
- energy (eV/atom) = -5.000
- mass density (g cm⁻³) = 6.93
- energy of formation (eV per atom) = 0.3010


What is the energy in the third record? -5.000 eV/atom